LiPaTl2O8 | PBE-GGA | relaxed

It has space group I-4m2 (No. 119), with a = 6.784 Å, b = 6.784 Å, c = 7.930 Å, α = 90.00°, β = 90.00° and γ = 90.00°. The distinct sites, in fractional coordinates, are Li at (0.000, 0.000, 0.000), Pa at (0.000, 0.500, 0.750), Tl at (0.000, 0.000, 0.500), Tl at (0.000, 0.500, 0.250), O at (0.000, 0.191, 0.714) and O at (0.000, 0.334, 0.019).

The calculation puts the calculated total energy at -5.702 eV per atom.